# GGA-PBE Li8Hg2Pb, relaxed
data_Li8Hg2Pb
_cell_length_a 4.488
_cell_length_b 7.325
_cell_length_c 12.636
_cell_angle_alpha 90.00
_cell_angle_beta 90.00
_cell_angle_gamma 90.00
_space_group_name_H-M_alt 'I m m m'
_space_group_IT_number 71
_space_group_name_Hall '-I 2 2'
loop_
_atom_site_label
_atom_site_type_symbol
_atom_site_fract_x
_atom_site_fract_y
_atom_site_fract_z
Li1 Li 0.000 0.000 0.152
Li2 Li 0.000 0.212 0.350
Li3 Li 0.000 0.295 0.000
Hg1 Hg 0.000 0.500 0.197
Pb1 Pb 0.000 0.500 0.500
# E above lowest polymorph ... 0 meV/atom
# Theoretical density ... 5.31 Mg/m³
# M_tot ... 0.00 Bohr magnetons per cell
# ΔE_f ... -3.132 eV per formula unit